Entry from Alexandria: a geometry-optimized LaVZn2P structure (PBE-GGA).

Cell: 5.442 5.442 4.703 Å, 90.00 90.00 90.00°
Space group P4/mmm (No. 123)
Unique sites:
La 0.000 0.000 0.000 (multiplicity 1)
V 0.000 0.000 0.500 (multiplicity 1)
Zn 0.000 0.500 0.000 (multiplicity 2)
P 0.500 0.500 0.500 (multiplicity 1)

Computed properties:
Its formation energy is 1709 meV/atom. As for the total magnetization: 0.00 Bohr magnetons per cell.